This record from Alexandria via LeMat-Bulk describes VOF after structural relaxation. The functional is PBE with a Hubbard U.

Output
crystal system = monoclinic
density = 4.094 Mg/m³
space-group type = No. 5
E = -172.71 eV per cell

abc: 4.7220 4.7220 12.5055
angles: 90.01 90.01 90.23
With the nearest neighbours (Å) after each atom.
Atoms (fractional coordinates):
V: 0.0000 0.0000 0.0000  3 O 1.91-2.00, 2 F 2.11
V: 0.0000 0.9991 0.2509  3 O 1.92-1.99, 3 F 2.10-2.15
V: 0.0009 0.0000 0.7491  3 O 1.92-1.99, 3 F 2.10-2.15
V: 0.0615 0.9385 0.5000  3 O 1.93-1.98, 3 F 2.10-2.15
V: 0.5012 0.4394 0.3752  3 O 1.93-1.98, 3 F 2.11-2.13
V: 0.5075 0.4331 0.8748  3 O 1.91-1.98, 3 F 2.13-2.14
V: 0.5606 0.4988 0.6248  3 O 1.93-1.98, 3 F 2.11-2.13
V: 0.5669 0.4925 0.1252  3 O 1.91-1.98, 3 F 2.13-2.14
O: 0.2060 0.1611 0.8746  3 V 1.91-2.00
O: 0.2129 0.1489 0.3754  3 V 1.93-1.98
O: 0.3504 0.6496 0.5000  3 V 1.93-1.98
O: 0.7122 0.2856 0.2513  3 V 1.92-1.98
O: 0.7144 0.2878 0.7487  3 V 1.92-1.98
O: 0.7147 0.2853 0.0000  3 V 1.91-1.97
O: 0.8389 0.7940 0.1254  3 V 1.91-2.00
O: 0.8511 0.7871 0.6246  3 V 1.93-1.98
F: 0.2199 0.2024 0.1252  3 V 2.11-2.13
F: 0.2419 0.1774 0.6249  3 V 2.10-2.13
F: 0.3198 0.6768 0.2494  3 V 2.12-2.15
F: 0.3208 0.6792 0.0000  3 V 2.14-2.15
F: 0.3232 0.6802 0.7506  3 V 2.12-2.15
F: 0.7406 0.2594 0.5000  3 V 2.11-2.15
F: 0.7976 0.7801 0.8748  3 V 2.11-2.13
F: 0.8226 0.7581 0.3751  3 V 2.10-2.13